Compound: Ru3Pt2Rh2
Source: the Alexandria database
Functional: PBE
Structure: optimized geometry

a b c (Å): 3.873 19.709 2.711
angles (deg): 90.00 90.00 90.00
Space group Cmmm (No. 65)
Inequivalent atoms, fractional coordinates:
Ru1 0.000 0.000 0.000 x2
Ru2 0.000 0.434 0.500 x4
Pt1 0.000 0.295 0.500 x4
Rh1 0.000 0.134 0.000 x4

Results
DFT formation energy, eV per atom: 0.0601
Crystal system: orthorhombic

Compound: TeMo2W
Source: the Alexandria database
Functional: PBE
Structure: optimized geometry

a b c (Å): 9.569 3.190 4.712
angles (deg): 90.00 102.36 90.00
Space group C2/m (No. 12)
Inequivalent atoms, fractional coordinates:
Te1 0.000 0.000 0.000 x2
Mo1 0.242 0.000 0.717 x4
W1 0.000 0.500 0.500 x2

Results
Formation energy without anion corrections, eV/atom: 0.516
Crystal system: monoclinic

Compound: Ca2LaPt
Source: the Alexandria database
Functional: PBE
Structure: optimized geometry

a b c (Å): 4.468 4.468 5.535
angles (deg): 90.00 90.00 90.00
Space group P4/mmm (No. 123)
Inequivalent atoms, fractional coordinates:
Ca1 0.000 0.500 0.000 x2
La1 0.000 0.000 0.500 x1
Pt1 0.500 0.500 0.500 x1

Results
DFT formation energy, eV per atom: -0.3599
Polymorph energy (0 for the lowest one), kJ/mol of atoms: 23.9
Crystal system: tetragonal

Compound: Ho4Zn3Co
Source: the Alexandria database
Functional: PBE
Structure: optimized geometry

a b c (Å): 3.476 3.476 14.147
angles (deg): 90.00 90.00 90.00
Space group P4/mmm (No. 123)
Inequivalent atoms, fractional coordinates:
Ho1 0.000 0.000 0.113 x2
Ho2 0.000 0.000 0.372 x2
Zn1 0.500 0.500 0.245 x2
Zn2 0.500 0.500 0.500 x1
Co1 0.500 0.500 0.000 x1

Results
DFT formation energy, eV per atom: -0.3061
Crystal system: tetragonal

Compound: Mg3CuSe
Source: the Alexandria database
Functional: PBE
Structure: optimized geometry

a b c (Å): 6.2285 6.2285 7.1773
angles (deg): 90.00 90.00 120.00
Space group P6_3/mmc (No. 194)
Inequivalent atoms, fractional coordinates:
Mg1 0.1795 0.3591 0.2500 x6
Cu1 0.3333 0.6667 0.7500 x2
Se1 0.0000 0.0000 0.0000 x2

Results
Formation energy without anion corrections, eV/atom: -0.063
Polymorph energy (0 for the lowest one), kJ/mol of atoms: 16.6
Crystal system: hexagonal

Compound: La2YZn
Source: the Alexandria database
Functional: PBE
Structure: optimized geometry

a b c (Å): 7.850 7.850 7.850
angles (deg): 90.00 90.00 90.00
Space group Fm-3m (No. 225)
Inequivalent atoms, fractional coordinates:
La1 0.250 0.250 0.250 x8
Y1 0.000 0.000 0.000 x4
Zn1 0.000 0.000 0.500 x4

Results
DFT formation energy, eV per atom: 0.0245
Polymorph energy (0 for the lowest one), kJ/mol of atoms: 17.9
Crystal system: cubic

Computed values of total magnetic moment (unit: μB/cell) for the preceding records, in sequence: 0.00 0.00 0.00 0.47 0.00 0.00.
Computed values of VASP energy (unit: eV per atom) for the preceding records, in sequence: -7.742 -8.923 -4.103 -3.961 -2.536 -4.374.